1.
The following is a DFT calculation (PBE) of a relaxed structure of Ca2CdPd5Pb2.

Unit cell a=10.6427 b=10.6427 c=3.7822 alpha=90.00 beta=90.00 gamma=90.00
Space group P4/mbm (No. 127)
Asymmetric unit:
Ca1 0.1662 0.3338 0.0000 (multiplicity 4)
Cd1 0.0000 0.0000 0.0000 (multiplicity 2)
Pd1 0.0000 0.5000 0.5000 (multiplicity 2)
Pd2 0.0387 0.8057 0.5000 (multiplicity 8)
Pb1 0.1353 0.6353 0.0000 (multiplicity 4)

Computed properties:
Its energy of formation from the pure elements is -414 meV/atom. The volume comes out at 428.4 Å³/cell. Its density is 8.83 g/cm3. For the uncorrected energy, the calculation gives -84.878 eV for the cell shown.

***

2.
The following is a DFT calculation (PBE) of a relaxed structure of LaY2Tl.

Unit cell a=7.8305 b=7.8305 c=7.8305 alpha=90.00 beta=90.00 gamma=90.00
Space group Fm-3m (No. 225)
Asymmetric unit:
La1 0.0000 0.0000 0.0000 (multiplicity 4)
Y1 0.2500 0.2500 0.2500 (multiplicity 8)
Tl1 0.0000 0.0000 0.5000 (multiplicity 4)

Computed properties:
Its energy of formation from the pure elements is -27 meV/atom. The excess energy over the best structure of this formula in the dataset is 169 meV per atom. The volume comes out at 480.1 Å³/cell. Its density is 7.21 g/cm3. For the uncorrected energy, the calculation gives -81.313 eV for the cell shown.

***

The lowest energy of formation from the pure elements belongs to which entry?
Ca2CdPd5Pb2

***

What is the formula in the second record?
LaY2Tl

***

What is the formula in the second record?
LaY2Tl

***

volume of number 2 (LaY2Tl)?
480.1 Å³/cell